[1]
# PBE Dy4ErTl, optimized geometry
data_Dy4ErTl
_chemical_formula_sum 'Dy4 Er1 Tl1'
_space_group_name_H-M_alt 'P 4/m m m'
_space_group_IT_number 123
_space_group_name_Hall '-P 4 2'
_cell_length_a 3.5730
_cell_length_b 3.5730
_cell_length_c 14.2173
_cell_angle_alpha 90.00
_cell_angle_beta 90.00
_cell_angle_gamma 90.00
loop_
_atom_site_label
_atom_site_type_symbol
_atom_site_fract_x
_atom_site_fract_y
_atom_site_fract_z
_atom_site_occupancy
Dy1 Dy 0.0000 0.0000 0.1505 1
Dy2 Dy 0.5000 0.5000 0.3258 1
Er1 Er 0.0000 0.0000 0.5000 1
Tl1 Tl 0.5000 0.5000 0.0000 1
# - formation energy from the elements (eV/atom) = -0.104
# - DFT total energy (eV/cell) = -25.96
# - volume (A^3/atom) = 30.2
# - size of the total moment (Bohr magnetons per cell) = 0.00
# - energy relative to the lowest polymorph listed for this composition (eV per formula unit) = 0.00

[2]
# PBE PSeBr2O, optimized geometry
data_PSeBr2O
_chemical_formula_sum 'P1 Se1 Br2 O1'
_space_group_name_H-M_alt 'P 4/m m m'
_space_group_IT_number 123
_space_group_name_Hall '-P 4 2'
_cell_length_a 4.7821
_cell_length_b 4.7821
_cell_length_c 4.3308
_cell_angle_alpha 90.00
_cell_angle_beta 90.00
_cell_angle_gamma 90.00
loop_
_atom_site_label
_atom_site_type_symbol
_atom_site_fract_x
_atom_site_fract_y
_atom_site_fract_z
_atom_site_occupancy
P1 P 0.0000 0.0000 0.0000 1
Se1 Se 0.5000 0.5000 0.0000 1
Br1 Br 0.0000 0.5000 0.5000 1
O1 O 0.5000 0.5000 0.5000 1
# - formation energy (no corrections) (eV/atom) = 0.928
# - DFT total energy (eV/cell) = -12.56
# - volume (A^3/atom) = 19.8
# - size of the total moment (Bohr magnetons per cell) = 0.00
# - energy relative to the lowest polymorph listed for this composition (eV per formula unit) = 0.32

[3]
# PBE Hf2AgSe, optimized geometry
data_Hf2AgSe
_chemical_formula_sum 'Hf6 Ag3 Se3'
_space_group_name_H-M_alt 'R -3 m'
_space_group_IT_number 166
_space_group_name_Hall '-R 3 2"'
_cell_length_a 3.2096
_cell_length_b 3.2096
_cell_length_c 29.2707
_cell_angle_alpha 90.00
_cell_angle_beta 90.00
_cell_angle_gamma 120.00
loop_
_atom_site_label
_atom_site_type_symbol
_atom_site_fract_x
_atom_site_fract_y
_atom_site_fract_z
_atom_site_occupancy
Hf1 Hf 0.0000 0.0000 0.0976 1
Ag1 Ag 0.0000 0.0000 0.0000 1
Se1 Se 0.0000 0.0000 0.5000 1
# - formation energy (no corrections) (eV/atom) = 0.029
# - DFT total energy (eV/cell) = -78.38
# - volume (A^3/atom) = 21.8
# - size of the total moment (Bohr magnetons per cell) = 0.00

[4]
# PBE Y3TiCd, optimized geometry
data_Y3TiCd
_chemical_formula_sum 'Y3 Ti1 Cd1'
_space_group_name_H-M_alt 'P m -3 m'
_space_group_IT_number 221
_space_group_name_Hall '-P 4 2 3'
_cell_length_a 5.6077
_cell_length_b 5.6077
_cell_length_c 5.6077
_cell_angle_alpha 90.00
_cell_angle_beta 90.00
_cell_angle_gamma 90.00
loop_
_atom_site_label
_atom_site_type_symbol
_atom_site_fract_x
_atom_site_fract_y
_atom_site_fract_z
_atom_site_occupancy
Y1 Y 0.0000 0.0000 0.5000 1
Ti1 Ti 0.5000 0.5000 0.5000 1
Cd1 Cd 0.0000 0.0000 0.0000 1
# - formation energy from the elements (eV/atom) = 0.767
# - DFT total energy (eV/cell) = -24.37
# - volume (A^3/atom) = 35.3
# - size of the total moment (Bohr magnetons per cell) = 4.64
# - energy relative to the lowest polymorph listed for this composition (eV per formula unit) = 1.49

[5]
# PBE Zr2TlAu2, optimized geometry
data_Zr2TlAu2
_chemical_formula_sum 'Zr4 Tl2 Au4'
_space_group_name_H-M_alt 'I 4/m m m'
_space_group_IT_number 139
_space_group_name_Hall '-I 4 2'
_cell_length_a 4.5115
_cell_length_b 4.5115
_cell_length_c 11.8904
_cell_angle_alpha 90.00
_cell_angle_beta 90.00
_cell_angle_gamma 90.00
loop_
_atom_site_label
_atom_site_type_symbol
_atom_site_fract_x
_atom_site_fract_y
_atom_site_fract_z
_atom_site_occupancy
Zr1 Zr 0.0000 0.5000 0.2500 1
Tl1 Tl 0.0000 0.0000 0.0000 1
Au1 Au 0.0000 0.0000 0.3898 1
# - formation energy from the elements (eV/atom) = -0.071
# - DFT total energy (eV/cell) = -52.74
# - volume (A^3/atom) = 24.2
# - size of the total moment (Bohr magnetons per cell) = 0.00

[6]
# PBE ZnHgBr2, optimized geometry
data_ZnHgBr2
_chemical_formula_sum 'Zn1 Hg1 Br2'
_space_group_name_H-M_alt 'P 1'
_space_group_IT_number 1
_space_group_name_Hall 'P 1'
_cell_length_a 3.9238
_cell_length_b 6.0272
_cell_length_c 6.4520
_cell_angle_alpha 105.58
_cell_angle_beta 107.51
_cell_angle_gamma 90.21
loop_
_atom_site_label
_atom_site_type_symbol
_atom_site_fract_x
_atom_site_fract_y
_atom_site_fract_z
_atom_site_occupancy
Zn1 Zn 0.0000 0.0000 0.0000 1
Hg1 Hg 0.8711 0.1472 0.6485 1
Br1 Br 0.1712 0.3182 0.3428 1
Br2 Br 0.5017 0.7465 0.0003 1
# - formation energy (no corrections) (eV/atom) = -0.591
# - DFT total energy (eV/cell) = -7.29
# - volume (A^3/atom) = 34.9
# - size of the total moment (Bohr magnetons per cell) = 0.00
# - energy relative to the lowest polymorph listed for this composition (eV per formula unit) = 0.14

[7]
# PBE CoCuOs2Rh, optimized geometry
data_CoCuOs2Rh
_chemical_formula_sum 'Co1 Cu1 Os2 Rh1'
_space_group_name_H-M_alt 'P 4/m m m'
_space_group_IT_number 123
_space_group_name_Hall '-P 4 2'
_cell_length_a 4.6469
_cell_length_b 4.6469
_cell_length_c 4.5427
_cell_angle_alpha 90.00
_cell_angle_beta 90.00
_cell_angle_gamma 90.00
loop_
_atom_site_label
_atom_site_type_symbol
_atom_site_fract_x
_atom_site_fract_y
_atom_site_fract_z
_atom_site_occupancy
Co1 Co 0.0000 0.0000 0.0000 1
Cu1 Cu 0.5000 0.5000 0.0000 1
Os1 Os 0.0000 0.5000 0.5000 1
Rh1 Rh 0.5000 0.5000 0.5000 1
# - formation energy from the elements (eV/atom) = 2.225
# - DFT total energy (eV/cell) = -29.89
# - volume (A^3/atom) = 19.6
# - size of the total moment (Bohr magnetons per cell) = 3.86